Co3IrO6 | PBE with a Hubbard U | optimized geometry

Total moment, μB/atom: 0.89
DFT total energy, eV per atom: -6.24

```
data_Co3IrO6
_chemical_formula_sum 'Co18 Ir6 O36'
_cell_length_a 8.5628
_cell_length_b 8.5628
_cell_length_c 10.4938
_cell_angle_alpha 90.00
_cell_angle_beta 90.00
_cell_angle_gamma 120.00
_space_group_name_H-M_alt 'R -3'
_space_group_IT_number 148
_space_group_name_Hall '-R 3'
loop_
_atom_site_label
_atom_site_fract_x
_atom_site_fract_y
_atom_site_fract_z
_atom_site_occupancy
Co1 0.0414 0.7770 0.2109 1
Ir1 0.0000 0.0000 0.0000 1
Ir2 0.0000 0.0000 0.5000 1
O1 0.0195 0.8339 0.8793 1
O2 0.0280 0.8210 0.4015 1
```